1.
An optimized crystal structure of SrTaIr4, computed with PBE.

Properties
total magnetic moment: 0.00 μB per formula unit
DFT formation energy: -57 meV/atom
DOS at the Fermi energy: 17.37 states/eV per cell

Cell lengths 7.5072, 7.5072, 7.5072 Å; angles 90.00, 90.00, 90.00 degrees
Last column: nearest neighbours and their distance in Å.
Space group F-43m (No. 216)
One atom of each set of equivalent atoms:
Sr 0.0000 0.0000 0.0000 (multiplicity 4)  12 Ir 3.11, 4 Ta 3.25
Ta 0.2500 0.2500 0.7500 (multiplicity 4)  12 Ir 3.11, 4 Sr 3.25
Ir 0.1251 0.1251 0.3749 (multiplicity 16)  6 Ir 2.65-2.66



2.
An optimized crystal structure of Y2MgGa12, computed with PBE.

Properties
total magnetic moment: 0.00 μB per formula unit
DFT formation energy: -283 meV/atom
DOS at the Fermi energy: 8.84 states/eV per cell

Cell lengths 5.8499, 5.8499, 17.5157 Å; angles 90.00, 90.00, 90.00 degrees
Last column: nearest neighbours and their distance in Å.
Space group P4/nbm (No. 125, origin choice 2)
One atom of each set of equivalent atoms:
Y 0.2500 0.7500 0.2202 (multiplicity 4)  10 Ga 3.09-3.19
Mg 0.2500 0.7500 0.5000 (multiplicity 2)  8 Ga 2.89-2.91
Ga 0.0015 0.5015 0.3838 (multiplicity 8)  6 Ga 2.65-2.93, 2 Mg 2.89-2.91
Ga 0.0744 0.5744 0.9358 (multiplicity 8)  3 Ga 2.56-2.61
Ga 0.2500 0.2500 0.1482 (multiplicity 4)  5 Ga 2.46-2.61
Ga 0.2500 0.2500 0.2888 (multiplicity 4)  5 Ga 2.46-2.65



3.
An optimized crystal structure of La5Tb2TmTh, computed with PBE.

Properties
total magnetic moment: 0.00 μB per formula unit
DFT formation energy: 126 meV/atom
DOS at the Fermi energy: 51.70 states/eV per cell

Cell lengths 5.5134, 21.7052, 10.6834 Å; angles 90.00, 90.00, 90.00 degrees
Last column: nearest neighbours and their distance in Å.
Space group Cmcm (No. 63)
One atom of each set of equivalent atoms:
La 0.0000 0.0000 0.0000 (multiplicity 4)  2 Tm 3.48, 4 Tb 3.67, 6 La 3.84-3.86
La 0.0000 0.1287 0.2500 (multiplicity 4)  1 Th 3.51, 4 La 3.86-3.88, 4 Tb 3.89
La 0.0000 0.2233 0.5579 (multiplicity 8)  2 La 3.24, 1 Tm 3.33, 3 Th 3.45-3.60
La 0.0000 0.4994 0.2500 (multiplicity 4)  2 Tm 3.54, 4 Tb 3.56-3.65, 6 La 3.84-3.93
Tb 0.0000 0.3884 0.0041 (multiplicity 8)  1 Th 3.38, 7 La 3.56-3.72
Tm 0.0000 0.1026 0.7500 (multiplicity 4)  6 La 3.33-3.54, 2 Th 3.60
Th 0.0000 0.2904 0.2500 (multiplicity 4)  2 Tb 3.38, 7 La 3.45-3.60, 2 Tm 3.60